4
Lattice="2.825 0.000 0.000 0.000 4.235 0.000 -1.342 0.000 5.129" Properties=species:S:1:pos:R:3 comment="Ir3Se (PBE-GGA, optimized geometry)" spacegroup=P2/m dos_at_fermi_per_ev_atom=1.24 raw_formation_energy_ev_per_atom=0.48 m_tot_mub_per_cell=0.0 pbc="T T T"
Ir 0.000 0.000 0.000
Ir 0.029 2.117 3.829
Ir 1.455 2.117 1.301
Se -0.671 0.000 2.565